No. 1
# Ag5Te4AsBr2

Crystalline Ag5Te4AsBr2 at its relaxed geometry (GGA-PBE, the Alexandria database).

Cell and atoms, written as extended XYZ:
```
12
Lattice="8.382 0.000 0.000 0.000 6.335 3.324 0.000 -6.335 3.324" Properties=species:S:1:pos:R:3 pbc="T T T"
Ag 0.000 0.000 0.000
Ag 2.245 -2.464 3.241
Ag 2.245 2.464 3.241
Ag 6.137 -2.464 3.241
Ag 6.137 2.464 3.241
Te 1.997 0.000 1.946
Te 4.191 -4.209 2.251
Te 4.191 4.209 2.251
Te 6.385 0.000 1.946
As 4.191 0.000 0.532
Br 0.000 -2.171 4.912
Br 0.000 2.171 4.912
```

Summary:
- Space group: Amm2
- Total DFT energy (no corrections): -3.0136 eV per atom

No. 2
# AgTeAsBr2

Crystalline AgTeAsBr2 at its relaxed geometry (GGA-PBE, the Alexandria database).

Cell and atoms, written as extended XYZ:
```
5
Lattice="5.112 0.000 0.000 0.000 5.112 0.000 0.000 0.000 5.380" Properties=species:S:1:pos:R:3 pbc="T T T"
Ag 0.000 0.000 0.000
Te 2.556 2.556 2.690
As 0.000 0.000 2.690
Br 0.000 2.556 0.000
Br 2.556 0.000 0.000
```

Summary:
- Space group: P4/mmm
- Total DFT energy (no corrections): -2.3302 eV per atom
- E above lowest polymorph: 0.000 eV/f.u.